[1]
Computed, not measured: a relaxed Pm2TiP3Rh12 crystal at the PBE level of DFT.

extended XYZ file:
```
18
Lattice="-6.217 -2.315 -2.438 -2.407 -4.688 4.710 -5.003 3.286 3.757" Properties=species:S:1:pos:R:3 pbc="T T T"
Rh -5.527 -1.148 5.455
Rh -8.583 -2.036 6.349
Rh -5.890 -3.944 4.720
Rh -4.447 1.075 2.727
Rh -6.231 -4.397 1.862
Rh -8.099 -2.568 0.574
Rh -7.737 0.228 1.309
Rh -3.170 -2.847 3.195
Rh -7.395 0.681 4.168
Rh -5.043 -1.680 -0.320
Rh -9.180 -4.791 3.302
Rh -10.456 -0.869 2.834
P -2.501 1.643 1.879
P -1.203 -2.344 2.355
P -3.108 -1.157 -1.219
Ti 0.000 0.000 0.000
Pm -5.372 -1.465 2.377
Pm -8.254 -2.251 3.652
```

- Space-group type: R-3m
- Energy of formation: -0.298 eV/atom
- Volume: 17.5 Å³/atom

---

[2]
Computed, not measured: a relaxed Pm2TmP3Rh4 crystal at the PBE level of DFT.

extended XYZ file:
```
10
Lattice="4.012 0.000 0.000 0.000 4.012 0.000 0.000 0.000 11.166" Properties=species:S:1:pos:R:3 pbc="T T T"
P 0.000 0.000 5.583
P 2.006 0.000 9.769
P 0.000 2.006 1.397
Pm 2.006 0.000 2.507
Pm 0.000 2.006 8.659
Rh 2.006 2.006 0.000
Rh 2.006 0.000 7.436
Rh 0.000 0.000 0.000
Rh 0.000 2.006 3.730
Tm 2.006 2.006 5.583
```

- Space-group type: P-4m2
- Energy of formation: -1.088 eV/atom
- Volume: 18.0 Å³/atom

---

[3]
Computed, not measured: a relaxed Pm2UP3Rh12 crystal at the PBE level of DFT.

extended XYZ file:
```
18
Lattice="-7.179 1.698 -0.080 -3.164 -1.554 -6.481 -4.290 -5.992 0.354" Properties=species:S:1:pos:R:3 pbc="T T T"
Rh -7.363 -5.390 -1.880
Rh -7.913 -2.997 -0.416
Rh -7.269 -0.457 -4.327
Rh -11.068 -4.283 -2.221
Rh -5.497 0.002 -0.904
Rh -9.135 -5.849 -5.302
Rh -4.107 -3.700 -0.696
Rh -10.526 -2.147 -5.511
Rh -6.719 -2.851 -5.790
Rh -3.565 -1.564 -3.986
Rh -9.016 -0.990 -2.128
Rh -5.616 -4.858 -4.079
Pm -5.868 -2.345 -2.489
Pm -8.764 -3.502 -3.718
U 0.000 0.000 0.000
P -3.589 0.849 -0.040
P -1.582 -0.777 -3.240
P -2.145 -2.996 0.177
```

- Space-group type: R-3m
- Energy of formation: -0.371 eV/atom
- Volume: 18.4 Å³/atom

---

[4]
Computed, not measured: a relaxed Pm2ZnP4Rh3 crystal at the PBE level of DFT.

extended XYZ file:
```
10
Lattice="4.181 0.000 0.000 0.000 4.181 0.000 0.000 0.000 9.656" Properties=species:S:1:pos:R:3 pbc="T T T"
Zn 2.090 2.090 4.828
Rh 0.000 0.000 4.828
Rh 2.090 0.000 8.582
Rh 0.000 2.090 1.075
Pm 0.000 2.090 7.346
Pm 2.090 0.000 2.310
P 0.000 2.090 3.457
P 2.090 2.090 0.000
P 0.000 0.000 0.000
P 2.090 0.000 6.199
```

- Space-group type: P-4m2
- Energy of formation: -0.975 eV/atom
- Volume: 16.9 Å³/atom

---

[5]
Computed, not measured: a relaxed Pm2ZrP3Rh4 crystal at the PBE level of DFT.

extended XYZ file:
```
10
Lattice="4.020 0.000 0.000 0.000 4.020 0.000 0.000 0.000 10.908" Properties=species:S:1:pos:R:3 pbc="T T T"
Rh 0.000 2.010 3.795
Rh 2.010 0.000 7.113
Rh 0.000 0.000 0.000
Rh 2.010 2.010 0.000
P 0.000 2.010 1.429
P 0.000 0.000 5.454
P 2.010 0.000 9.479
Zr 2.010 2.010 5.454
Pm 0.000 2.010 8.457
Pm 2.010 0.000 2.450
```

- Space-group type: P-4m2
- Energy of formation: -1.075 eV/atom
- Volume: 17.6 Å³/atom

---

[6]
Computed, not measured: a relaxed PmPRu crystal at the PBE level of DFT.

extended XYZ file:
```
6
Lattice="-1.089 1.877 3.403 -1.750 -3.392 1.311 6.189 -2.000 3.084" Properties=species:S:1:pos:R:3 pbc="T T T"
Ru 4.163 -1.555 6.085
Ru 3.833 -4.190 5.039
Pm 0.512 -1.138 2.293
Pm 1.295 -2.607 5.747
P 3.587 -2.132 3.825
P -1.779 -1.614 4.215
```

- Space-group type: P4/nmm
- Energy of formation: -0.984 eV/atom
- Volume: 19.5 Å³/atom
- Relative energy among the computed polymorphs: 0.00 kcal/mol of atoms

---

[7]
Computed, not measured: a relaxed Pm2P4Ru5 crystal at the PBE level of DFT.

extended XYZ file:
```
11
Lattice="5.650 0.000 0.000 2.825 4.972 0.000 2.825 0.000 6.588" Properties=species:S:1:pos:R:3 pbc="T T T"
Ru 4.238 2.486 0.000
Ru 1.413 2.486 0.000
Ru 2.825 0.000 0.000
Ru 4.238 2.486 3.294
Ru 7.063 2.486 3.294
P 5.650 1.535 4.849
P 8.475 3.437 4.849
P 2.825 1.535 1.739
P 5.650 3.437 1.739
Pm 2.825 0.000 4.848
Pm 5.650 0.000 1.740
```

- Space-group type: Fmmm
- Energy of formation: -0.794 eV/atom
- Volume: 16.8 Å³/atom

---

[8]
Computed, not measured: a relaxed PmP3Ru4 crystal at the PBE level of DFT.

extended XYZ file:
```
8
Lattice="4.029 0.000 0.000 0.000 4.029 0.000 0.000 0.000 7.707" Properties=species:S:1:pos:R:3 pbc="T T T"
Ru 0.000 2.015 1.400
Ru 2.015 0.000 1.400
Ru 0.000 2.015 6.306
Ru 2.015 0.000 6.306
P 0.000 0.000 0.000
P 2.015 2.015 5.176
P 2.015 2.015 2.531
Pm 0.000 0.000 3.853
```

- Space-group type: P4/mmm
- Energy of formation: -0.785 eV/atom
- Volume: 15.6 Å³/atom

---

Copy entry 3 word for word.
Computed, not measured: a relaxed Pm2UP3Rh12 crystal at the PBE level of DFT.

extended XYZ file:
```
18
Lattice="-7.179 1.698 -0.080 -3.164 -1.554 -6.481 -4.290 -5.992 0.354" Properties=species:S:1:pos:R:3 pbc="T T T"
Rh -7.363 -5.390 -1.880
Rh -7.913 -2.997 -0.416
Rh -7.269 -0.457 -4.327
Rh -11.068 -4.283 -2.221
Rh -5.497 0.002 -0.904
Rh -9.135 -5.849 -5.302
Rh -4.107 -3.700 -0.696
Rh -10.526 -2.147 -5.511
Rh -6.719 -2.851 -5.790
Rh -3.565 -1.564 -3.986
Rh -9.016 -0.990 -2.128
Rh -5.616 -4.858 -4.079
Pm -5.868 -2.345 -2.489
Pm -8.764 -3.502 -3.718
U 0.000 0.000 0.000
P -3.589 0.849 -0.040
P -1.582 -0.777 -3.240
P -2.145 -2.996 0.177
```

- Space-group type: R-3m
- Energy of formation: -0.371 eV/atom
- Volume: 18.4 Å³/atom

---

- energy of formation of number 7 (Pm2P4Ru5)?
  -0.794 eV/atom

---

- The lowest volume belongs to which entry?
  PmP3Ru4

---

What did the third record say?
Computed, not measured: a relaxed Pm2UP3Rh12 crystal at the PBE level of DFT.

extended XYZ file:
```
18
Lattice="-7.179 1.698 -0.080 -3.164 -1.554 -6.481 -4.290 -5.992 0.354" Properties=species:S:1:pos:R:3 pbc="T T T"
Rh -7.363 -5.390 -1.880
Rh -7.913 -2.997 -0.416
Rh -7.269 -0.457 -4.327
Rh -11.068 -4.283 -2.221
Rh -5.497 0.002 -0.904
Rh -9.135 -5.849 -5.302
Rh -4.107 -3.700 -0.696
Rh -10.526 -2.147 -5.511
Rh -6.719 -2.851 -5.790
Rh -3.565 -1.564 -3.986
Rh -9.016 -0.990 -2.128
Rh -5.616 -4.858 -4.079
Pm -5.868 -2.345 -2.489
Pm -8.764 -3.502 -3.718
U 0.000 0.000 0.000
P -3.589 0.849 -0.040
P -1.582 -0.777 -3.240
P -2.145 -2.996 0.177
```

- Space-group type: R-3m
- Energy of formation: -0.371 eV/atom
- Volume: 18.4 Å³/atom